(1)
Entry from Alexandria: crystalline TbThMnZn at its relaxed geometry (PBE-GGA).

The size of the total moment is 2.36 μB per formula unit. For the calculated total energy, the calculation gives -22.481 eV/f.u. The value obtained for the formation energy is 3 meV/atom. The density of states at the Fermi level is 15.76 states/eV per cell.

It has space group F-43m (No. 216), with a = 7.1765 Å, b = 7.1765 Å, c = 7.1765 Å, α = 90.00°, β = 90.00° and γ = 90.00°. The inequivalent atoms are Tb at (0.0000, 0.0000, 0.0000), Th at (0.0000, 0.0000, 0.5000), Mn at (0.2500, 0.2500, 0.2500) and Zn at (0.2500, 0.2500, 0.7500).


(2)
Entry from Alexandria: crystalline TbTiMn4 at its relaxed geometry (PBE-GGA).

The size of the total moment is 2.29 μB per formula unit. For the calculated total energy, the calculation gives -49.027 eV/f.u. The value obtained for the formation energy is 29 meV/atom. The density of states at the Fermi level is 30.00 states/eV per cell.

It has space group F-43m (No. 216), with a = 7.0022 Å, b = 7.0022 Å, c = 7.0022 Å, α = 90.00°, β = 90.00° and γ = 90.00°. The inequivalent atoms are Tb at (0.0000, 0.0000, 0.0000), Ti at (0.2500, 0.2500, 0.2500) and Mn at (0.1242, 0.1242, 0.6242).


(3)
Entry from Alexandria: crystalline TbTiMn at its relaxed geometry (PBE-GGA).

The size of the total moment is 1.95 μB per formula unit. For the calculated total energy, the calculation gives -21.271 eV/f.u. The value obtained for the formation energy is 141 meV/atom. The density of states at the Fermi level is 7.61 states/eV per cell.

It has space group P4/mmm (No. 123), with a = 3.1412 Å, b = 3.1412 Å, c = 11.8093 Å, α = 90.00°, β = 90.00° and γ = 90.00°. The inequivalent atoms are Tb at (0.0000, 0.0000, 0.1763), Ti at (0.5000, 0.5000, 0.3843), Mn at (0.0000, 0.0000, 0.5000) and Mn at (0.5000, 0.5000, 0.0000).